Entry 1:
The following is a GGA-PBE calculation of La4Pm3YS8 after structural relaxation, from Alexandria via LeMat-Bulk.

Lattice parameters (Å, degrees): 8.168 8.168 8.168 59.88 59.88 59.88
Atoms (fractional coordinates):
La (0.000, 0.000, 0.000)
La (0.000, 0.500, 0.500)
La (0.500, 0.000, 0.500)
La (0.500, 0.500, 0.000)
Pm (0.000, 0.000, 0.500)
Pm (0.000, 0.500, 0.000)
Pm (0.500, 0.000, 0.000)
Y (0.500, 0.500, 0.500)
S (0.247, 0.247, 0.247)
S (0.252, 0.743, 0.743)
S (0.257, 0.257, 0.748)
S (0.257, 0.748, 0.257)
S (0.743, 0.252, 0.743)
S (0.743, 0.743, 0.252)
S (0.748, 0.257, 0.257)
S (0.753, 0.753, 0.753)

Fermi-level density of states (states/eV per cell): 8.731
Space-group type: No. 166
Calculated volume (A^3/atom): 24.02
Electronic total energy (eV/cell): -107.0
Magnetic moment (μB/cell): 0.000

Entry 2:
The following is a GGA-PBE calculation of TiCo3H after structural relaxation, from Alexandria via LeMat-Bulk.

Lattice parameters (Å, degrees): 5.201 4.393 9.064 90.00 107.42 90.00
Atoms (fractional coordinates):
Ti (0.195, 0.083, 0.151)
Ti (0.195, 0.417, 0.651)
Ti (0.805, 0.583, 0.349)
Ti (0.805, 0.917, 0.849)
Co (0.069, 0.100, 0.390)
Co (0.069, 0.400, 0.890)
Co (0.309, 0.589, 0.363)
Co (0.309, 0.911, 0.863)
Co (0.420, 0.595, 0.110)
Co (0.420, 0.905, 0.610)
Co (0.580, 0.095, 0.390)
Co (0.580, 0.405, 0.890)
Co (0.691, 0.089, 0.137)
Co (0.691, 0.411, 0.637)
Co (0.931, 0.600, 0.110)
Co (0.931, 0.900, 0.610)
H (0.384, 0.240, 0.995)
H (0.384, 0.260, 0.495)
H (0.616, 0.740, 0.505)
H (0.616, 0.760, 0.005)

Fermi-level density of states (states/eV per cell): 17.781
Space-group type: No. 14
Offset from the most stable computed form (eV/atom): 0.128
Calculated volume (A^3/atom): 9.88
Magnetic moment (μB/cell): 9.182

Entry 3:
The following is a GGA-PBE calculation of FeW2Br after structural relaxation, from Alexandria via LeMat-Bulk.

Lattice parameters (Å, degrees): 3.271 3.146 7.129 90.00 90.05 90.00
Atoms (fractional coordinates):
Fe (0.000, 0.000, 0.000)
W (0.001, 0.000, 0.380)
W (0.500, 0.500, 0.183)
Br (0.005, 0.500, 0.695)

Fermi-level density of states (states/eV per cell): 4.469
Space-group type: No. 6
Offset from the most stable computed form (eV/atom): 0.000
Calculated volume (A^3/atom): 18.34
Magnetic moment (μB/cell): 2.364

Entry 4:
The following is a GGA-PBE calculation of Ca2MgTc after structural relaxation, from Alexandria via LeMat-Bulk.

Lattice parameters (Å, degrees): 5.590 5.590 3.204 90.00 90.00 104.33
Atoms (fractional coordinates):
Ca (0.000, 0.500, 0.000)
Ca (0.500, 0.000, 0.000)
Mg (0.000, 0.000, 0.500)
Tc (0.500, 0.500, 0.500)

Fermi-level density of states (states/eV per cell): 4.000
Space-group type: No. 65
Energy of formation (meV/atom): 526.2
Calculated volume (A^3/atom): 24.25
Magnetic moment (μB/cell): 0.000

Entry 5:
The following is a GGA-PBE calculation of Li4Hg4Au3 after structural relaxation, from Alexandria via LeMat-Bulk.

Lattice parameters (Å, degrees): 15.162 15.162 15.162 168.89 162.37 20.89
Atoms (fractional coordinates):
Li (0.045, 0.045, 0.000)
Li (0.322, 0.822, 0.500)
Li (0.678, 0.178, 0.500)
Li (0.955, 0.955, 0.000)
Hg (0.227, 0.227, 0.000)
Hg (0.411, 0.911, 0.500)
Hg (0.589, 0.089, 0.500)
Hg (0.773, 0.773, 0.000)
Au (0.136, 0.636, 0.500)
Au (0.500, 0.500, 0.000)
Au (0.864, 0.364, 0.500)

Fermi-level density of states (states/eV per cell): 4.328
Space-group type: No. 71
Offset from the most stable computed form (eV/atom): 0.100
Energy of formation (meV/atom): -239.1
Calculated volume (A^3/atom): 18.49
Magnetic moment (μB/cell): 0.000

Entry 6:
The following is a GGA-PBE calculation of MgSc5 after structural relaxation, from Alexandria via LeMat-Bulk.

Lattice parameters (Å, degrees): 5.982 5.982 5.235 90.00 90.00 120.00
Atoms (fractional coordinates):
Mg (0.000, 0.000, 0.000)
Sc (0.000, 0.500, 0.500)
Sc (0.333, 0.667, 0.000)
Sc (0.500, 0.000, 0.500)
Sc (0.500, 0.500, 0.500)
Sc (0.667, 0.333, 0.000)

Fermi-level density of states (states/eV per cell): 9.046
Space-group type: No. 191
Offset from the most stable computed form (eV/atom): 0.383
Energy of formation (meV/atom): 386.3
Calculated volume (A^3/atom): 27.04
Magnetic moment (μB/cell): 0.028

Entry 7:
The following is a GGA-PBE calculation of CuSb2As2 after structural relaxation, from Alexandria via LeMat-Bulk.

Lattice parameters (Å, degrees): 7.470 7.470 4.056 90.00 90.00 90.00
Atoms (fractional coordinates):
Cu (0.000, 0.000, 0.000)
Cu (0.500, 0.500, 0.000)
Sb (0.158, 0.342, 0.500)
Sb (0.342, 0.842, 0.500)
Sb (0.658, 0.158, 0.500)
Sb (0.842, 0.658, 0.500)
As (0.168, 0.668, 0.000)
As (0.332, 0.168, 0.000)
As (0.668, 0.832, 0.000)
As (0.832, 0.332, 0.000)

Fermi-level density of states (states/eV per cell): 5.943
Space-group type: No. 127
Offset from the most stable computed form (eV/atom): 0.007
Calculated volume (A^3/atom): 22.63
Magnetic moment (μB/cell): 0.000

Entry 8:
The following is a GGA-PBE calculation of Ce2NiP3Pt4 after structural relaxation, from Alexandria via LeMat-Bulk.

Lattice parameters (Å, degrees): 4.240 4.240 9.684 90.00 90.00 90.00
Atoms (fractional coordinates):
Ce (0.000, 0.500, 0.244)
Ce (0.500, 0.000, 0.756)
Ni (0.500, 0.500, 0.000)
P (0.000, 0.000, 0.000)
P (0.000, 0.500, 0.633)
P (0.500, 0.000, 0.367)
Pt (0.000, 0.000, 0.500)
Pt (0.000, 0.500, 0.873)
Pt (0.500, 0.000, 0.127)
Pt (0.500, 0.500, 0.500)

Fermi-level density of states (states/eV per cell): 9.795
Space-group type: No. 115
Energy of formation (meV/atom): -901.3
Calculated volume (A^3/atom): 17.41
Magnetic moment (μB/cell): 0.600